A plane-wave DFT calculation with meta-GGA SCAN was carried out for a crystal of CuTc2P relaxed with PBEsol.

Cell: 2.6687 2.6687 8.2256 Å, 90.00 90.00 114.16°
With the nearest neighbours (Å) after each atom.
Atoms (fractional coordinates):
Tc (0.5000, 0.5000, 0.7516)  8 Tc 2.61-2.90, 2 Cu 2.62
Tc (0.0000, 0.0000, 0.0157)  2 P 2.39, 6 Tc 2.61-2.67
Cu (0.0000, 0.0000, 0.4860)  2 P 2.44, 2 Tc 2.62, 4 Cu 2.67
P (0.5000, 0.5000, 0.2468)  2 Tc 2.39, 2 Cu 2.44, 4 P 2.67

Calculated values
Fermi-level density of states = 3.7 states/eV per cell
electronic total energy = -23.59 eV/atom
spin magnetization = 0.00 μB per formula unit
calculated formation energy = 0.34 eV/atom